No. 1
A relaxed SbIr4Rh crystal. Source: Alexandria, functional PBE-GGA.

It has space group F-43m (No. 216), with a = 7.422 Å, b = 7.422 Å, c = 7.422 Å, α = 90.00°, β = 90.00° and γ = 90.00°. Symmetry generates all atoms from Sb at (0.000, 0.000, 0.000), Ir at (0.124, 0.124, 0.624) and Rh at (0.250, 0.250, 0.250).

The calculation puts the density of states at the Fermi level at 1.92 states/eV per atom. The energy relative to the elements, uncorrected is 53.6 kJ/mol of atoms. Its total energy is -7.26 eV per atom.

=====

No. 2
A relaxed Sb6Ir2Rh crystal. Source: Alexandria, functional PBE-GGA.

It has space group P4_2/mnm (No. 136), with a = 6.082 Å, b = 6.082 Å, c = 12.309 Å, α = 90.00°, β = 90.00° and γ = 90.00°. Symmetry generates all atoms from Sb at (0.197, 0.197, 0.166), Sb at (0.198, 0.198, 0.500), Ir at (0.000, 0.000, 0.333) and Rh at (0.000, 0.000, 0.000).

The calculation puts the density of states at the Fermi level at 0.63 states/eV per atom. The energy relative to the elements, uncorrected is -8.6 kJ/mol of atoms. Its total energy is -5.62 eV per atom.

=====

No. 3
A relaxed SbIr2Rh crystal. Source: Alexandria, functional PBE-GGA.

It has space group I-4m2 (No. 119), with a = 4.046 Å, b = 4.046 Å, c = 7.737 Å, α = 90.00°, β = 90.00° and γ = 90.00°. Symmetry generates all atoms from Sb at (0.000, 0.000, 0.000), Ir at (0.000, 0.000, 0.500), Ir at (0.000, 0.500, 0.750) and Rh at (0.000, 0.500, 0.250).

The calculation puts the density of states at the Fermi level at 1.22 states/eV per atom. The energy relative to the elements, uncorrected is 9.3 kJ/mol of atoms. Its total energy is -7.20 eV per atom.

=====

No. 4
A relaxed SbIr2Rh crystal. Source: Alexandria, functional PBE-GGA.

It has space group C2/m (No. 12), with a = 5.431 Å, b = 9.811 Å, c = 2.879 Å, α = 90.00°, β = 121.68° and γ = 90.00°. Symmetry generates all atoms from Sb at (0.000, 0.000, 0.000), Ir at (0.250, 0.250, 0.000) and Rh at (0.000, 0.500, 0.000).

The calculation puts the density of states at the Fermi level at 0.88 states/eV per atom. The energy relative to the elements, uncorrected is 17.3 kJ/mol of atoms. Its total energy is -7.12 eV per atom.

=====

No. 5
A relaxed SbIr2Rh crystal. Source: Alexandria, functional PBE-GGA.

It has space group R-3m (No. 166, hexagonal axes), with a = 2.9654 Å, b = 2.9654 Å, c = 25.8005 Å, α = 90.00°, β = 90.00° and γ = 120.00°. Symmetry generates all atoms from Sb at (0.0000, 0.0000, 0.0000), Ir at (0.0000, 0.0000, 0.2501) and Rh at (0.0000, 0.0000, 0.5000).

The calculation puts the density of states at the Fermi level at 1.45 states/eV per atom. The energy relative to the elements, uncorrected is 37.8 kJ/mol of atoms. Its total energy is -6.91 eV per atom.

=====

No. 6
A relaxed SbIr2Rh crystal. Source: Alexandria, functional PBE-GGA.

It has space group P2/m (No. 10), with a = 4.736 Å, b = 2.932 Å, c = 4.848 Å, α = 90.00°, β = 108.64° and γ = 90.00°. Symmetry generates all atoms from Sb at (0.000, 0.000, 0.000), Ir at (0.000, 0.500, 0.500), Ir at (0.500, 0.000, 0.500) and Rh at (0.500, 0.500, 0.000).

The calculation puts the density of states at the Fermi level at 0.78 states/eV per atom. The energy relative to the elements, uncorrected is 7.9 kJ/mol of atoms. Its total energy is -7.22 eV per atom.

=====

No. 7
A relaxed SbIr2Rh crystal. Source: Alexandria, functional PBE-GGA.

It has space group Cmmm (No. 65), with a = 2.850 Å, b = 4.982 Å, c = 9.452 Å, α = 90.00°, β = 90.00° and γ = 90.00°. Symmetry generates all atoms from Sb at (0.000, 0.000, 0.000), Ir at (0.000, 0.500, 0.261) and Rh at (0.000, 0.000, 0.500).

The calculation puts the density of states at the Fermi level at 1.43 states/eV per atom. The energy relative to the elements, uncorrected is 55.2 kJ/mol of atoms. Its total energy is -6.73 eV per atom.

=====

No. 8
A relaxed SbIr2Rh crystal. Source: Alexandria, functional PBE-GGA.

It has space group P4mm (No. 99), with a = 2.955 Å, b = 2.955 Å, c = 7.441 Å, α = 90.00°, β = 90.00° and γ = 90.00°. Symmetry generates all atoms from Sb at (0.000, 0.000, 0.000), Ir at (0.000, 0.000, 0.502), Ir at (0.500, 0.500, 0.265) and Rh at (0.500, 0.500, 0.747).

The calculation puts the density of states at the Fermi level at 1.46 states/eV per atom. The energy relative to the elements, uncorrected is 24.3 kJ/mol of atoms. Its total energy is -7.05 eV per atom.